Model P:
Below is a crystal of NaMg16Al12 relaxed with PBEsol, with properties calculated at the SCAN level.

Geometry as CIF:
```
data_NaMg16Al12
_chemical_formula_sum 'Na2 Mg32 Al24'
_cell_length_a 10.5101
_cell_length_b 14.7740
_cell_length_c 9.1061
_cell_angle_alpha 90.00
_cell_angle_beta 125.24
_cell_angle_gamma 90.00
_symmetry_space_group_name_H-M 'C 1 m 1'
_symmetry_Int_Tables_number 8
_symmetry_space_group_name_Hall 'C -2y'
loop_
_atom_site_label
_atom_site_type_symbol
_atom_site_fract_x
_atom_site_fract_y
_atom_site_fract_z
Na1 Na 0.0000 0.0000 0.0000
Mg1 Mg 0.0550 0.1437 0.2812
Mg2 Mg 0.0798 0.2003 0.9625
Mg3 Mg 0.0963 0.5000 0.6242
Mg4 Mg 0.0970 0.5000 0.2803
Mg5 Mg 0.1512 0.1573 0.6784
Mg6 Mg 0.2524 0.3423 0.8808
Mg7 Mg 0.2556 0.0000 0.9383
Mg8 Mg 0.2677 0.3274 0.2792
Mg9 Mg 0.2796 0.0000 0.5647
Mg10 Mg 0.3963 0.1994 0.5958
Al1 Al 0.0005 0.4066 0.9120
Al2 Al 0.0963 0.3160 0.4639
Al3 Al 0.2752 0.5000 0.0976
Al4 Al 0.3227 0.0916 0.2836
Al5 Al 0.3669 0.4064 0.6408
Al6 Al 0.4110 0.1837 0.0936
Al7 Al 0.4615 0.5000 0.4578
```

Total magnetization = 0.0 μB per formula unit

=====

Model Q:
Below is a crystal of NaMg16Al12 relaxed with PBEsol, with properties calculated at the SCAN level.

Geometry as CIF:
```
data_NaMg16Al12
_chemical_formula_sum 'Na2 Mg32 Al24'
_cell_length_a 10.4880
_cell_length_b 10.4880
_cell_length_c 10.4880
_cell_angle_alpha 90.00
_cell_angle_beta 90.00
_cell_angle_gamma 90.00
_symmetry_space_group_name_H-M 'I -4 3 m'
_symmetry_Int_Tables_number 217
_symmetry_space_group_name_Hall 'I -4 2 3'
loop_
_atom_site_label
_atom_site_type_symbol
_atom_site_fract_x
_atom_site_fract_y
_atom_site_fract_z
Na1 Na 0.0000 0.0000 0.0000
Mg1 Mg 0.0417 0.3578 0.6422
Mg2 Mg 0.1735 0.1735 0.1735
Al1 Al 0.0914 0.0914 0.7219
```

Total magnetization = 0.0 μB per formula unit

=====

Which of them is least stable? Easy: model P.

=====

Model P:
Below is a crystal of NaMg14AlO16 relaxed with PBEsol, with properties calculated at the SCAN level.

Geometry as CIF:
```
data_NaMg14AlO16
_chemical_formula_sum 'Na1 Mg14 Al1 O16'
_cell_length_a 4.2308
_cell_length_b 8.4245
_cell_length_c 8.4454
_cell_angle_alpha 90.00
_cell_angle_beta 90.00
_cell_angle_gamma 90.00
_symmetry_space_group_name_H-M 'P m m m'
_symmetry_Int_Tables_number 47
_symmetry_space_group_name_Hall '-P 2 2'
loop_
_atom_site_label
_atom_site_type_symbol
_atom_site_fract_x
_atom_site_fract_y
_atom_site_fract_z
Na1 Na 0.0000 0.0000 0.0000
Mg1 Mg 0.0000 0.0000 0.5000
Mg2 Mg 0.0000 0.2459 0.2498
Mg3 Mg 0.0000 0.5000 0.5000
Mg4 Mg 0.5000 0.0000 0.2473
Mg5 Mg 0.5000 0.2446 0.0000
Mg6 Mg 0.5000 0.2479 0.5000
Mg7 Mg 0.5000 0.5000 0.2497
Al1 Al 0.0000 0.5000 0.0000
O1 O 0.0000 0.0000 0.2625
O2 O 0.0000 0.2567 0.5000
O3 O 0.0000 0.2798 0.0000
O4 O 0.0000 0.5000 0.2351
O5 O 0.5000 0.0000 0.0000
O6 O 0.5000 0.0000 0.5000
O7 O 0.5000 0.2518 0.2493
O8 O 0.5000 0.5000 0.0000
O9 O 0.5000 0.5000 0.5000
```

Total magnetization = 0.0 μB per formula unit

=====

Model Q:
Below is a crystal of NaMg14AlO16 relaxed with PBEsol, with properties calculated at the SCAN level.

Geometry as CIF:
```
data_NaMg14AlO16
_chemical_formula_sum 'Na1 Mg14 Al1 O16'
_cell_length_a 8.4420
_cell_length_b 8.4420
_cell_length_c 4.2298
_cell_angle_alpha 90.00
_cell_angle_beta 90.00
_cell_angle_gamma 90.00
_symmetry_space_group_name_H-M 'P 4/m m m'
_symmetry_Int_Tables_number 123
_symmetry_space_group_name_Hall '-P 4 2'
loop_
_atom_site_label
_atom_site_type_symbol
_atom_site_fract_x
_atom_site_fract_y
_atom_site_fract_z
Na1 Na 0.0000 0.0000 0.0000
Mg1 Mg 0.0000 0.2451 0.5000
Mg2 Mg 0.0000 0.5000 0.0000
Mg3 Mg 0.2460 0.2460 0.0000
Mg4 Mg 0.2480 0.5000 0.5000
Al1 Al 0.5000 0.5000 0.0000
O1 O 0.0000 0.0000 0.5000
O2 O 0.0000 0.2667 0.0000
O3 O 0.0000 0.5000 0.5000
O4 O 0.2517 0.2517 0.5000
O5 O 0.2716 0.5000 0.0000
O6 O 0.5000 0.5000 0.5000
```

Total magnetization = 0.0 μB per formula unit

=====

Which of them is least stable? Easy: model Q.

=====

Model P:
Below is a crystal of MgAl2O4 relaxed with PBEsol, with properties calculated at the SCAN level.

Geometry as CIF:
```
data_MgAl2O4
_chemical_formula_sum 'Mg4 Al8 O16'
_cell_length_a 8.6686
_cell_length_b 2.7933
_cell_length_c 9.9643
_cell_angle_alpha 90.00
_cell_angle_beta 90.00
_cell_angle_gamma 90.00
_symmetry_space_group_name_H-M 'P n m a'
_symmetry_Int_Tables_number 62
_symmetry_space_group_name_Hall '-P 2ac 2n'
loop_
_atom_site_label
_atom_site_type_symbol
_atom_site_fract_x
_atom_site_fract_y
_atom_site_fract_z
Mg1 Mg 0.2445 0.2500 0.1526
Al1 Al 0.0589 0.2500 0.3836
Al2 Al 0.0867 0.2500 0.8966
O1 O 0.0353 0.7500 0.7838
O2 O 0.0884 0.2500 0.5708
O3 O 0.1203 0.7500 0.0290
O4 O 0.2014 0.7500 0.3315
```

Total magnetization = 0.0 μB per formula unit

=====

Model Q:
Below is a crystal of MgAl2O4 relaxed with PBEsol, with properties calculated at the SCAN level.

Geometry as CIF:
```
data_MgAl2O4
_chemical_formula_sum 'Mg4 Al8 O16'
_cell_length_a 5.6598
_cell_length_b 5.7342
_cell_length_c 8.0670
_cell_angle_alpha 90.00
_cell_angle_beta 90.00
_cell_angle_gamma 90.00
_symmetry_space_group_name_H-M 'I m m a'
_symmetry_Int_Tables_number 74
_symmetry_space_group_name_Hall '-I 2b 2'
loop_
_atom_site_label
_atom_site_type_symbol
_atom_site_fract_x
_atom_site_fract_y
_atom_site_fract_z
Mg1 Mg 0.2500 0.2500 0.2500
Al1 Al 0.0000 0.0000 0.0000
Al2 Al 0.0000 0.2500 0.6348
O1 O 0.0000 0.0008 0.2343
O2 O 0.2354 0.2500 0.9966
```

Total magnetization = 0.0 μB per formula unit

=====

Model R:
Below is a crystal of MgAl2O4 relaxed with PBEsol, with properties calculated at the SCAN level.

Geometry as CIF:
```
data_MgAl2O4
_chemical_formula_sum 'Mg6 Al12 O24'
_cell_length_a 5.7194
_cell_length_b 5.7194
_cell_length_c 14.0723
_cell_angle_alpha 90.00
_cell_angle_beta 90.00
_cell_angle_gamma 120.00
_symmetry_space_group_name_H-M 'P 3 m 1'
_symmetry_Int_Tables_number 156
_symmetry_space_group_name_Hall 'P 3 -2"'
loop_
_atom_site_label
_atom_site_type_symbol
_atom_site_fract_x
_atom_site_fract_y
_atom_site_fract_z
Mg1 Mg 0.0000 0.0000 0.0000
Mg2 Mg 0.0000 0.0000 0.2434
Mg3 Mg 0.0000 0.0000 0.6227
Mg4 Mg 0.3333 0.6667 0.3311
Mg5 Mg 0.3333 0.6667 0.9573
Mg6 Mg 0.6667 0.3333 0.6661
Al1 Al 0.0053 0.5026 0.1218
Al2 Al 0.1622 0.3244 0.7872
Al3 Al 0.3333 0.6667 0.5779
Al4 Al 0.3382 0.1691 0.4532
Al5 Al 0.6667 0.3333 0.2861
Al6 Al 0.6667 0.3333 0.9072
O1 O 0.0000 0.0000 0.3878
O2 O 0.0000 0.0000 0.8612
O3 O 0.0141 0.5070 0.8633
O4 O 0.1634 0.3268 0.5298
O5 O 0.1794 0.3588 0.0509
O6 O 0.3062 0.1531 0.7147
O7 O 0.3333 0.6667 0.1950
O8 O 0.3333 0.6667 0.7096
O9 O 0.3741 0.1870 0.1996
O10 O 0.5192 0.0384 0.3749
O11 O 0.6667 0.3333 0.0387
O12 O 0.6667 0.3333 0.5251
```

Total magnetization = 0.0 μB per formula unit

=====

Model S:
Below is a crystal of MgAl2O4 relaxed with PBEsol, with properties calculated at the SCAN level.

Geometry as CIF:
```
data_MgAl2O4
_chemical_formula_sum 'Mg28 Al56 O112'
_cell_length_a 9.9336
_cell_length_b 5.7234
_cell_length_c 32.9524
_cell_angle_alpha 90.00
_cell_angle_beta 95.69
_cell_angle_gamma 90.00
_symmetry_space_group_name_H-M 'C 1 2/m 1'
_symmetry_Int_Tables_number 12
_symmetry_space_group_name_Hall '-C 2y'
loop_
_atom_site_label
_atom_site_type_symbol
_atom_site_fract_x
_atom_site_fract_y
_atom_site_fract_z
Mg1 Mg 0.0535 0.0000 0.1607
Mg2 Mg 0.0893 0.0000 0.2672
Mg3 Mg 0.1248 0.5000 0.8749
Mg4 Mg 0.1608 0.5000 0.9822
Mg5 Mg 0.1942 0.0000 0.5873
Mg6 Mg 0.2320 0.0000 0.6957
Mg7 Mg 0.2500 0.2500 0.5000
Al1 Al 0.0000 0.0000 0.0000
Al2 Al 0.0000 0.0000 0.5000
Al3 Al 0.0223 0.5000 0.5553
Al4 Al 0.0363 0.2481 0.3565
Al5 Al 0.0715 0.5000 0.2143
Al6 Al 0.0716 0.5000 0.7144
Al7 Al 0.1072 0.2500 0.0715
Al8 Al 0.1418 0.0000 0.4269
Al9 Al 0.1428 0.0000 0.9285
Al10 Al 0.1785 0.2499 0.7857
Al11 Al 0.2143 0.5000 0.1429
Al12 Al 0.2160 0.5000 0.6433
O1 O 0.0099 0.2772 0.7521
O2 O 0.0196 0.0000 0.6109
O3 O 0.0336 0.0000 0.1013
O4 O 0.0370 0.5000 0.6109
O5 O 0.0533 0.5000 0.1053
O6 O 0.0616 0.2231 0.9623
O7 O 0.0680 0.2359 0.4613
O8 O 0.0882 0.5000 0.3233
O9 O 0.1050 0.5000 0.8156
O10 O 0.1093 0.0000 0.3261
O11 O 0.1247 0.0000 0.8195
O12 O 0.1324 0.2790 0.6765
O13 O 0.1527 0.2770 0.1806
O14 O 0.1610 0.0000 0.0376
O15 O 0.1644 0.0000 0.5288
O16 O 0.1807 0.5000 0.0416
O17 O 0.1897 0.5000 0.5406
O18 O 0.2038 0.2259 0.3893
O19 O 0.2241 0.2230 0.8948
O20 O 0.2322 0.5000 0.7520
O21 O 0.2480 0.5000 0.2445
```

Total magnetization = 0.0 μB per formula unit

=====

Which of them is least stable? Easy: model P.

=====

Model P:
Below is a crystal of Mg2AlP relaxed with PBEsol, with properties calculated at the SCAN level.

Geometry as CIF:
```
data_Mg2AlP
_chemical_formula_sum 'Mg2 Al1 P1'
_cell_length_a 3.3551
_cell_length_b 3.3551
_cell_length_c 6.6316
_cell_angle_alpha 90.00
_cell_angle_beta 90.00
_cell_angle_gamma 90.00
_symmetry_space_group_name_H-M 'P 4 m m'
_symmetry_Int_Tables_number 99
_symmetry_space_group_name_Hall 'P 4 -2'
loop_
_atom_site_label
_atom_site_type_symbol
_atom_site_fract_x
_atom_site_fract_y
_atom_site_fract_z
Mg1 Mg 0.0000 0.0000 0.0000
Mg2 Mg 0.5000 0.5000 0.3095
Al1 Al 0.5000 0.5000 0.7251
P1 P 0.0000 0.0000 0.5845
```

Total magnetization = 0.0 μB per formula unit

=====

Model Q:
Below is a crystal of Mg2AlP relaxed with PBEsol, with properties calculated at the SCAN level.

Geometry as CIF:
```
data_Mg2AlP
_chemical_formula_sum 'Mg8 Al4 P4'
_cell_length_a 6.6577
_cell_length_b 6.6577
_cell_length_c 6.6577
_cell_angle_alpha 90.00
_cell_angle_beta 90.00
_cell_angle_gamma 90.00
_symmetry_space_group_name_H-M 'F m -3 m'
_symmetry_Int_Tables_number 225
_symmetry_space_group_name_Hall '-F 4 2 3'
loop_
_atom_site_label
_atom_site_type_symbol
_atom_site_fract_x
_atom_site_fract_y
_atom_site_fract_z
Mg1 Mg 0.2500 0.2500 0.2500
Al1 Al 0.0000 0.0000 0.0000
P1 P 0.0000 0.0000 0.5000
```

Total magnetization = 0.0 μB per formula unit

=====

Which of them is least stable? Easy: model Q.